1.
The following is a PBE calculation of an optimized crystal structure of LiRhBr2, from the Alexandria database.

a = 8.247 Å, b = 8.247 Å, c = 8.247 Å
α = 24.91°, β = 24.91°, γ = 24.91°
Positions (direct):
Li  0.000  0.000  0.000
Rh  0.500  0.500  0.500
Br  0.399  0.399  0.399
Br  0.601  0.601  0.601

Properties
Space-group type: R-3m (166)
Polymorph energy (0 for the lowest one), meV per atom: 251
Energy, eV for the cell shown: -13.883

---

2.
The following is a PBE calculation of an optimized crystal structure of LiRhBr4, from the Alexandria database.

a = 6.329 Å, b = 3.756 Å, c = 6.664 Å
α = 90.00°, β = 90.54°, γ = 90.00°
Positions (direct):
Li  0.000  0.000  0.000
Rh  0.000  0.500  0.500
Br  0.221  0.000  0.644
Br  0.227  0.500  0.190
Br  0.773  0.500  0.810
Br  0.779  0.000  0.356

Properties
Space-group type: P2/m (10)
Energy, eV for the cell shown: -20.522

---

3.
The following is a PBE calculation of an optimized crystal structure of LiRhBr, from the Alexandria database.

a = 4.250 Å, b = 4.250 Å, c = 4.250 Å
α = 60.00°, β = 60.00°, γ = 60.00°
Positions (direct):
Li  0.000  0.000  0.000
Rh  0.750  0.750  0.750
Br  0.500  0.500  0.500

Properties
Space-group type: F-43m (216)
Polymorph energy (0 for the lowest one), meV per atom: 115
Energy, eV for the cell shown: -10.858

---

4.
The following is a PBE calculation of an optimized crystal structure of LiRhBr2, from the Alexandria database.

a = 4.722 Å, b = 4.722 Å, c = 3.295 Å
α = 90.00°, β = 90.00°, γ = 90.00°
Positions (direct):
Li  0.000  0.000  0.000
Rh  0.500  0.500  0.000
Br  0.000  0.500  0.500
Br  0.500  0.000  0.500

Properties
Space-group type: P4/mmm (123)
Polymorph energy (0 for the lowest one), meV per atom: 309
Energy, eV for the cell shown: -13.652

---

5.
The following is a PBE calculation of an optimized crystal structure of LiRhBr2, from the Alexandria database.

a = 7.056 Å, b = 7.056 Å, c = 7.056 Å
α = 150.01°, β = 144.89°, γ = 46.83°
Positions (direct):
Li  0.000  0.000  0.000
Rh  0.500  0.500  0.000
Br  0.369  0.869  0.500
Br  0.631  0.131  0.500

Properties
Space-group type: Immm (71)
Polymorph energy (0 for the lowest one), meV per atom: 0
Energy, eV for the cell shown: -14.888

---

6.
The following is a PBE calculation of an optimized crystal structure of LiRhBr2, from the Alexandria database.

a = 3.889 Å, b = 3.889 Å, c = 7.160 Å
α = 90.00°, β = 90.00°, γ = 122.15°
Positions (direct):
Li  0.000  0.000  0.000
Rh  0.000  0.000  0.500
Br  0.500  0.500  0.252
Br  0.500  0.500  0.748

Properties
Space-group type: Cmmm (65)
Polymorph energy (0 for the lowest one), meV per atom: 263
Energy, eV for the cell shown: -13.837

---

7.
The following is a PBE calculation of an optimized crystal structure of LiRhBr, from the Alexandria database.

a = 4.298 Å, b = 4.298 Å, c = 3.286 Å
α = 90.00°, β = 90.00°, γ = 120.00°
Positions (direct):
Li  0.000  0.000  0.000
Rh  0.667  0.333  0.500
Br  0.333  0.667  0.500

Properties
Space-group type: P-6m2 (187)
Polymorph energy (0 for the lowest one), meV per atom: 0
Energy, eV for the cell shown: -11.205

---

8.
The following is a PBE calculation of an optimized crystal structure of LiRhBr2, from the Alexandria database.

a = 7.294 Å, b = 7.294 Å, c = 7.294 Å
α = 132.46°, β = 132.46°, γ = 69.50°
Positions (direct):
Li  0.000  0.000  0.000
Li  0.750  0.250  0.500
Rh  0.250  0.750  0.500
Rh  0.500  0.500  0.000
Br  0.118  0.625  0.993
Br  0.375  0.368  0.493
Br  0.632  0.125  0.007
Br  0.875  0.882  0.507

Properties
Space-group type: I-42d (122)
Polymorph energy (0 for the lowest one), meV per atom: 172
Energy, eV for the cell shown: -28.404

---

9.
The following is a PBE calculation of an optimized crystal structure of LiRhBr, from the Alexandria database.

a = 3.275 Å, b = 3.275 Å, c = 5.835 Å
α = 90.00°, β = 90.00°, γ = 120.00°
Positions (direct):
Li  0.000  0.000  0.000
Rh  0.667  0.333  0.352
Br  0.333  0.667  0.681

Properties
Space-group type: P3m1 (156)
Polymorph energy (0 for the lowest one), meV per atom: 162
Energy, eV for the cell shown: -10.720

---

10.
The following is a PBE calculation of an optimized crystal structure of LiRhBr2, from the Alexandria database.

a = 6.443 Å, b = 6.443 Å, c = 6.443 Å
α = 36.39°, β = 36.39°, γ = 36.39°
Positions (direct):
Li  0.000  0.000  0.000
Rh  0.500  0.500  0.500
Br  0.248  0.248  0.248
Br  0.752  0.752  0.752

Properties
Space-group type: R-3m (166)
Polymorph energy (0 for the lowest one), meV per atom: 133
Energy, eV for the cell shown: -14.357

---

11.
The following is a PBE calculation of an optimized crystal structure of LiRhBr2, from the Alexandria database.

a = 5.164 Å, b = 3.629 Å, c = 5.919 Å
α = 90.00°, β = 97.39°, γ = 90.00°
Positions (direct):
Li  0.000  0.000  0.000
Rh  0.500  0.000  0.000
Br  0.280  0.500  0.761
Br  0.720  0.500  0.239

Properties
Space-group type: P2/m (10)
Polymorph energy (0 for the lowest one), meV per atom: 74
Energy, eV for the cell shown: -14.594

---

12.
The following is a PBE calculation of an optimized crystal structure of LiRhBr2, from the Alexandria database.

a = 3.711 Å, b = 7.112 Å, c = 7.112 Å
α = 30.13°, β = 90.00°, γ = 90.00°
Positions (direct):
Li  0.000  0.000  0.000
Rh  0.500  0.341  0.341
Br  0.000  0.808  0.808
Br  0.500  0.538  0.538

Properties
Space-group type: Amm2 (38)
Polymorph energy (0 for the lowest one), meV per atom: 138
Energy, eV for the cell shown: -14.337

---

Q: Look up the energy of the first one.
A: -13.883 eV for the cell shown